Arrangement 1

A plane-wave DFT calculation with meta-GGA SCAN was carried out for a PBEsol-optimized structure of MnTl2Os.

Computed properties:
**Total magnetic moment**: 3.91 μB/f.u.

a = 3.3215 Å, b = 3.3215 Å, c = 6.3720 Å
α = 90.00°, β = 90.00°, γ = 90.00°
Fractional coordinates of all 4 atoms:
1 Mn 0.5000 0.5000 0.0000
2 Os 0.5000 0.5000 0.5000
3 Tl 0.0000 0.0000 0.7485
4 Tl 0.0000 0.0000 0.2515

=====

Arrangement 2

A plane-wave DFT calculation with meta-GGA SCAN was carried out for a PBEsol-optimized structure of MnTl2Os.

Computed properties:
**Total magnetic moment**: 2.80 μB/f.u.

a = 2.9155 Å, b = 2.9561 Å, c = 8.6590 Å
α = 90.00°, β = 99.65°, γ = 90.00°
Fractional coordinates of all 4 atoms:
1 Tl 0.3397 0.5000 0.3025
2 Tl 0.1644 0.0000 0.9573
3 Mn 0.9595 0.0000 0.5430
4 Os 0.5363 0.5000 0.6972

=====

Arrangement 3

A plane-wave DFT calculation with meta-GGA SCAN was carried out for a PBEsol-optimized structure of MnTl2Os.

Computed properties:
**Total magnetic moment**: 4.03 μB/f.u.

a = 4.4295 Å, b = 4.4295 Å, c = 4.7767 Å
α = 117.62°, β = 117.62°, γ = 90.00°
Fractional coordinates of all 4 atoms:
1 Os 0.0000 0.0000 0.0000
2 Tl 0.7500 0.2500 0.5000
3 Mn 0.5000 0.5000 0.0000
4 Tl 0.2500 0.7500 0.5000

=====

Q: Which of them is the most stable? A: arrangement 2.

=====

Arrangement 1

A plane-wave DFT calculation with meta-GGA SCAN was carried out for a PBEsol-optimized structure of Y2MnOs.

Computed properties:
**Total magnetic moment**: 0.03 μB/f.u.

a = 3.9013 Å, b = 3.9013 Å, c = 7.5939 Å
α = 75.12°, β = 75.12°, γ = 60.00°
Fractional coordinates of all 4 atoms:
1 Y 0.9680 0.9680 0.0961
2 Os 0.2159 0.2159 0.3523
3 Mn 0.5334 0.5334 0.3999
4 Y 0.7828 0.7828 0.6517

=====

Arrangement 2

A plane-wave DFT calculation with meta-GGA SCAN was carried out for a PBEsol-optimized structure of Y2MnOs.

Computed properties:
**Total magnetic moment**: 3.62 μB/f.u.

a = 3.3880 Å, b = 3.3880 Å, c = 7.0174 Å
α = 90.00°, β = 90.00°, γ = 90.00°
Fractional coordinates of all 4 atoms:
1 Y 0.0000 0.0000 0.7347
2 Y 0.0000 0.0000 0.2653
3 Os 0.5000 0.5000 0.5000
4 Mn 0.5000 0.5000 0.0000

=====

Arrangement 3

A plane-wave DFT calculation with meta-GGA SCAN was carried out for a PBEsol-optimized structure of Y2MnOs.

Computed properties:
**Total magnetic moment**: 4.71 μB/f.u.

a = 4.7547 Å, b = 4.7547 Å, c = 4.7547 Å
α = 60.00°, β = 60.00°, γ = 60.00°
Fractional coordinates of all 4 atoms:
1 Os 0.2500 0.2500 0.2500
2 Mn 0.5000 0.5000 0.5000
3 Y 0.7500 0.7500 0.7500
4 Y 0.0000 0.0000 0.0000

=====

Q: Which of them is the most stable? A: arrangement 2.

=====

Arrangement 1

A plane-wave DFT calculation with meta-GGA SCAN was carried out for a PBEsol-optimized structure of Mn5P3.

Computed properties:
**Total magnetic moment**: 0.00 μB/f.u.

a = 4.7769 Å, b = 6.3629 Å, c = 6.3629 Å
α = 120.00°, β = 90.00°, γ = 90.00°
Fractional coordinates of all 16 atoms:
1 P 0.2500 0.6059 0.6059
2 P 0.7500 0.6059 0.0000
3 Mn 0.0000 0.6667 0.3333
4 Mn 0.2500 0.2470 0.2470
5 Mn 0.7500 0.7530 0.7530
6 Mn 0.5000 0.6667 0.3333
7 P 0.7500 0.3941 0.3941
8 P 0.2500 0.0000 0.3941
9 P 0.7500 0.0000 0.6059
10 Mn 0.7500 0.2470 0.0000
11 Mn 0.2500 0.7530 0.0000
12 Mn 0.2500 0.0000 0.7530
13 Mn 0.7500 0.0000 0.2470
14 Mn 0.0000 0.3333 0.6667
15 P 0.2500 0.3941 0.0000
16 Mn 0.5000 0.3333 0.6667

=====

Arrangement 2

A plane-wave DFT calculation with meta-GGA SCAN was carried out for a PBEsol-optimized structure of Mn5P3.

Computed properties:
**Total magnetic moment**: 10.92 μB/f.u.

a = 4.9759 Å, b = 6.4541 Å, c = 6.4541 Å
α = 81.45°, β = 67.33°, γ = 67.33°
Fractional coordinates of all 16 atoms:
1 P 0.6043 0.5000 0.1756
2 Mn 0.7477 0.7136 0.8574
3 P 0.2799 0.5000 0.8244
4 Mn 0.6051 0.1426 0.7136
5 Mn 0.4612 0.8574 0.2864
6 P 0.2751 0.0000 0.0000
7 Mn 0.8187 0.1426 0.2864
8 Mn 0.3187 0.2864 0.1426
9 P 0.1043 0.1756 0.5000
10 P 0.7751 0.0000 0.0000
11 P 0.7799 0.8244 0.5000
12 Mn 0.2052 0.5000 0.5000
13 Mn 0.7052 0.5000 0.5000
14 Mn 0.2477 0.8574 0.7136
15 Mn 0.9612 0.2864 0.8574
16 Mn 0.1051 0.7136 0.1426

=====

Q: Which of them is the most stable? A: arrangement 2.

=====

Arrangement 1

A plane-wave DFT calculation with meta-GGA SCAN was carried out for a PBEsol-optimized structure of MnReP.

Computed properties:
**Total magnetic moment**: 1.17 μB/f.u.

a = 2.7192 Å, b = 2.7192 Å, c = 5.7537 Å
α = 90.00°, β = 90.00°, γ = 120.00°
Fractional coordinates of all 3 atoms:
1 P 0.3333 0.6667 0.6863
2 Mn 0.0000 0.0000 0.9792
3 Re 0.6667 0.3333 0.3345

=====

Arrangement 2

A plane-wave DFT calculation with meta-GGA SCAN was carried out for a PBEsol-optimized structure of MnReP.

Computed properties:
**Total magnetic moment**: 1.02 μB/f.u.

a = 3.9426 Å, b = 3.9426 Å, c = 3.9426 Å
α = 60.00°, β = 60.00°, γ = 60.00°
Fractional coordinates of all 3 atoms:
1 P 0.5000 0.5000 0.5000
2 Re 0.2500 0.2500 0.2500
3 Mn 0.0000 0.0000 0.0000

=====

Q: Which of them is the most stable? A: arrangement 2.

=====

Arrangement 1

A plane-wave DFT calculation with meta-GGA SCAN was carried out for a PBEsol-optimized structure of MnP2Rh.

Computed properties:
**Total magnetic moment**: 3.10 μB/f.u.

a = 2.8587 Å, b = 3.5365 Å, c = 5.1555 Å
α = 90.00°, β = 89.97°, γ = 90.00°
Fractional coordinates of all 4 atoms:
1 P 0.4993 0.0000 0.7120
2 Mn 0.0000 0.5000 0.5000
3 P 0.5007 0.0000 0.2880
4 Rh 0.5000 0.5000 0.0000

=====

Arrangement 2

A plane-wave DFT calculation with meta-GGA SCAN was carried out for a PBEsol-optimized structure of MnP2Rh.

Computed properties:
**Total magnetic moment**: 2.77 μB/f.u.

a = 2.8988 Å, b = 2.8988 Å, c = 7.2482 Å
α = 78.46°, β = 78.46°, γ = 60.00°
Fractional coordinates of all 4 atoms:
1 P 0.7510 0.7510 0.7470
2 Mn 0.2607 0.2607 0.2179
3 Rh 0.4921 0.4921 0.5238
4 P 0.9962 0.9962 0.0113

=====

Q: Which of them is the most stable? A: arrangement 1.

=====

Arrangement 1

A plane-wave DFT calculation with meta-GGA SCAN was carried out for a PBEsol-optimized structure of MnP2Rh.

Computed properties:
**Total magnetic moment**: 2.08 μB/f.u.

a = 4.0644 Å, b = 4.0644 Å, c = 4.0644 Å
α = 60.00°, β = 60.00°, γ = 60.00°
Fractional coordinates of all 4 atoms:
1 Rh 0.5000 0.5000 0.5000
2 P 0.2500 0.2500 0.2500
3 Mn 0.0000 0.0000 0.0000
4 P 0.7500 0.7500 0.7500

=====

Arrangement 2

A plane-wave DFT calculation with meta-GGA SCAN was carried out for a PBEsol-optimized structure of MnP2Rh.

Computed properties:
**Total magnetic moment**: 2.10 μB/f.u.

a = 3.2122 Å, b = 3.2122 Å, c = 4.8307 Å
α = 90.00°, β = 90.00°, γ = 90.00°
Fractional coordinates of all 4 atoms:
1 Mn 0.5000 0.5000 0.8096
2 P 0.0000 0.0000 0.9468
3 Rh 0.0000 0.0000 0.4482
4 P 0.5000 0.5000 0.2954

=====

Q: Which of them is the most stable? A: arrangement 2.

=====

Arrangement 1

A plane-wave DFT calculation with meta-GGA SCAN was carried out for a PBEsol-optimized structure of Mn2PRu.

Computed properties:
**Total magnetic moment**: 5.19 μB/f.u.

a = 3.5366 Å, b = 3.5366 Å, c = 3.7624 Å
α = 90.00°, β = 90.00°, γ = 90.00°
Fractional coordinates of all 4 atoms:
1 Ru 0.0000 0.0000 0.5000
2 P 0.5000 0.5000 0.5000
3 Mn 0.0000 0.5000 0.0000
4 Mn 0.5000 0.0000 0.0000

=====

Arrangement 2

A plane-wave DFT calculation with meta-GGA SCAN was carried out for a PBEsol-optimized structure of Mn2PRu.

Computed properties:
**Total magnetic moment**: 0.00 μB/f.u.

a = 3.9890 Å, b = 3.9890 Å, c = 3.9890 Å
α = 60.00°, β = 60.00°, γ = 60.00°
Fractional coordinates of all 4 atoms:
1 P 0.0000 0.0000 0.0000
2 Mn 0.7500 0.7500 0.7500
3 Mn 0.2500 0.2500 0.2500
4 Ru 0.5000 0.5000 0.5000

=====

Q: Which of them is the most stable? A: arrangement 1.

=====

Arrangement 1

A plane-wave DFT calculation with meta-GGA SCAN was carried out for a PBEsol-optimized structure of ScMnP2.

Computed properties:
**Total magnetic moment**: 0.00 μB/f.u.

a = 3.7297 Å, b = 4.3524 Å, c = 4.3524 Å
α = 71.07°, β = 64.63°, γ = 64.63°
Fractional coordinates of all 4 atoms:
1 Sc 0.0000 0.5000 0.5000
2 Mn 0.5000 0.0000 0.0000
3 P 0.2017 0.7983 0.7983
4 P 0.7983 0.2017 0.2017

=====

Arrangement 2

A plane-wave DFT calculation with meta-GGA SCAN was carried out for a PBEsol-optimized structure of ScMnP2.

Computed properties:
**Total magnetic moment**: 3.69 μB/f.u.

a = 3.3240 Å, b = 4.1563 Å, c = 4.1563 Å
α = 90.00°, β = 90.00°, γ = 90.00°
Fractional coordinates of all 4 atoms:
1 P 0.0000 0.0000 0.5000
2 Mn 0.5000 0.0000 0.0000
3 Sc 0.5000 0.5000 0.5000
4 P 0.0000 0.5000 0.0000

=====

Arrangement 3

A plane-wave DFT calculation with meta-GGA SCAN was carried out for a PBEsol-optimized structure of ScMnP2.

Computed properties:
**Total magnetic moment**: 0.00 μB/f.u.

a = 2.8841 Å, b = 3.3274 Å, c = 6.3255 Å
α = 105.25°, β = 103.18°, γ = 90.00°
Fractional coordinates of all 4 atoms:
1 P 0.7184 0.2184 0.4367
2 Mn 0.2924 0.7924 0.5847
3 Sc 0.5514 0.5514 0.1028
4 P 0.9379 0.9379 0.8757

=====

Q: Which of them is the most stable? A: arrangement 3.